Material: Pu3Se3O
Method: DFT, PBE
State: relaxed

## Properties
- Density: 9.7 g/cm3
- ΔE to the lowest computed polymorph: 0.018 eV per atom

```
data_Pu3Se3O
_chemical_formula_sum 'Pu12 Se12 O4'
_cell_length_a 8.062
_cell_length_b 11.945
_cell_length_c 7.070
_cell_angle_alpha 90.00
_cell_angle_beta 99.51
_cell_angle_gamma 90.00
_symmetry_space_group_name_H-M 'C 1 2/m 1'
_symmetry_Int_Tables_number 12
loop_
_symmetry_equiv_pos_as_xyz
'x,y,z'
'-x,-y,-z'
'-x,y,-z'
'x,-y,z'
'x+1/2,y+1/2,z'
'-x+1/2,-y+1/2,-z'
'-x+1/2,y+1/2,-z'
'x+1/2,-y+1/2,z'
loop_
_atom_site_label
_atom_site_type_symbol
_atom_site_fract_x
_atom_site_fract_y
_atom_site_fract_z
Pu1 Pu 0.099 0.000 0.311
Pu2 Pu 0.192 0.345 0.220
Se1 Se 0.000 0.164 0.000
Se2 Se 0.000 0.234 0.500
Se3 Se 0.101 0.500 0.834
O1 O 0.184 0.000 0.645
```

=====

Material: CsRb2As2
Method: DFT, PBE
State: relaxed

## Properties
- Density: 3.4 g/cm3
- ΔH_f (0 K): 0.11 eV/atom
- ΔE to the lowest computed polymorph: 0.436 eV per atom

```
data_CsRb2As2
_chemical_formula_sum 'Cs2 Rb4 As4'
_cell_length_a 5.952
_cell_length_b 5.952
_cell_length_c 12.627
_cell_angle_alpha 90.00
_cell_angle_beta 90.00
_cell_angle_gamma 90.00
_symmetry_space_group_name_H-M 'I 4/m m m'
_symmetry_Int_Tables_number 139
_symmetry_space_group_name_Hall '-I 4 2'
loop_
_atom_site_label
_atom_site_type_symbol
_atom_site_fract_x
_atom_site_fract_y
_atom_site_fract_z
Cs1 Cs 0.000 0.000 0.000
Rb1 Rb 0.000 0.000 0.363
As1 As 0.000 0.500 0.250
```

=====

Material: Hf4IrPb
Method: DFT, PBE
State: relaxed

## Properties
- Density: 14.1 g/cm3
- ΔH_f (0 K): -0.29 eV/atom

```
data_Hf4IrPb
_chemical_formula_sum 'Hf16 Ir4 Pb4'
_cell_length_a 8.102
_cell_length_b 12.380
_cell_length_c 5.575
_cell_angle_alpha 90.00
_cell_angle_beta 110.11
_cell_angle_gamma 90.00
_symmetry_space_group_name_H-M 'C 1 2/c 1'
_symmetry_Int_Tables_number 15
loop_
_symmetry_equiv_pos_as_xyz
'x,y,z'
'-x,-y,-z'
'-x,y,-z+1/2'
'x,-y,z+1/2'
'x+1/2,y+1/2,z'
'-x+1/2,-y+1/2,-z'
'-x+1/2,y+1/2,-z+1/2'
'x+1/2,-y+1/2,z+1/2'
loop_
_atom_site_label
_atom_site_type_symbol
_atom_site_fract_x
_atom_site_fract_y
_atom_site_fract_z
Hf1 Hf 0.106 0.184 0.063
Hf2 Hf 0.221 0.411 0.353
Ir1 Ir 0.000 0.002 0.750
Pb1 Pb 0.000 0.386 0.750
```

=====

Material: ErGa3CuAu
Method: DFT, PBE
State: relaxed

## Properties
- Density: 9.4 g/cm3
- ΔH_f (0 K): -0.24 eV/atom

```
data_ErGa3CuAu
_chemical_formula_sum 'Er4 Ga12 Cu4 Au4'
_cell_length_a 5.548
_cell_length_b 13.499
_cell_length_c 5.982
_cell_angle_alpha 90.00
_cell_angle_beta 90.00
_cell_angle_gamma 90.00
_symmetry_space_group_name_H-M 'C m c m'
_symmetry_Int_Tables_number 63
_symmetry_space_group_name_Hall '-C 2c 2'
loop_
_atom_site_label
_atom_site_type_symbol
_atom_site_fract_x
_atom_site_fract_y
_atom_site_fract_z
Er1 Er 0.000 0.195 0.250
Ga1 Ga 0.000 0.371 0.750
Ga2 Ga 0.225 0.000 0.000
Cu1 Cu 0.000 0.399 0.250
Au1 Au 0.000 0.170 0.750
```

=====

Material: SrTaSb
Method: DFT, PBE
State: relaxed

## Properties
- Density: 7.5 g/cm3
- ΔE to the lowest computed polymorph: 0.232 eV per atom

```
data_SrTaSb
_chemical_formula_sum 'Sr1 Ta1 Sb1'
_cell_length_a 3.8070
_cell_length_b 3.8070
_cell_length_c 6.8995
_cell_angle_alpha 90.00
_cell_angle_beta 90.00
_cell_angle_gamma 120.00
_symmetry_space_group_name_H-M 'P 3 m 1'
_symmetry_Int_Tables_number 156
loop_
_symmetry_equiv_pos_as_xyz
'x,y,z'
'-y,x-y,z'
'-x+y,-x,z'
'-y,-x,z'
'-x+y,y,z'
'x,x-y,z'
loop_
_atom_site_label
_atom_site_type_symbol
_atom_site_fract_x
_atom_site_fract_y
_atom_site_fract_z
Sr1 Sr 0.0000 0.0000 0.0000
Ta1 Ta 0.6667 0.3333 0.3915
Sb1 Sb 0.3333 0.6667 0.6334
```

=====

Material: BeCl3
Method: DFT, PBE
State: relaxed

## Properties
- Density: 2.0 g/cm3
- ΔE to the lowest computed polymorph: 0.162 eV per atom

```
data_BeCl3
_chemical_formula_sum 'Be3 Cl9'
_cell_length_a 3.2002
_cell_length_b 3.2002
_cell_length_c 32.9482
_cell_angle_alpha 90.00
_cell_angle_beta 90.00
_cell_angle_gamma 120.00
_symmetry_space_group_name_H-M 'R -3 m'
_symmetry_Int_Tables_number 166
_symmetry_space_group_name_Hall '-R 3 2"'
loop_
_atom_site_label
_atom_site_type_symbol
_atom_site_fract_x
_atom_site_fract_y
_atom_site_fract_z
Be1 Be 0.0000 0.0000 0.0000
Cl1 Cl 0.0000 0.0000 0.3719
Cl2 Cl 0.0000 0.0000 0.5000
```

=====

Material: SrTa2Ag
Method: DFT, PBE
State: relaxed

## Properties
- Density: 10.8 g/cm3
- ΔH_f (0 K): 0.83 eV/atom
- ΔE to the lowest computed polymorph: 0.404 eV per atom

```
data_SrTa2Ag
_chemical_formula_sum 'Sr1 Ta2 Ag1'
_cell_length_a 2.912
_cell_length_b 2.912
_cell_length_c 10.129
_cell_angle_alpha 90.00
_cell_angle_beta 90.00
_cell_angle_gamma 90.00
_symmetry_space_group_name_H-M 'P 4/m m m'
_symmetry_Int_Tables_number 123
_symmetry_space_group_name_Hall '-P 4 2'
loop_
_atom_site_label
_atom_site_type_symbol
_atom_site_fract_x
_atom_site_fract_y
_atom_site_fract_z
Sr1 Sr 0.000 0.000 0.000
Ta1 Ta 0.500 0.500 0.289
Ag1 Ag 0.000 0.000 0.500
```

=====

Material: Rb5HgAuO2
Method: DFT, PBE
State: relaxed

## Properties
- Density: 4.3 g/cm3

```
data_Rb5HgAuO2
_chemical_formula_sum 'Rb5 Hg1 Au1 O2'
_cell_length_a 5.817
_cell_length_b 5.817
_cell_length_c 9.881
_cell_angle_alpha 90.00
_cell_angle_beta 90.00
_cell_angle_gamma 90.00
_symmetry_space_group_name_H-M 'P 4/m m m'
_symmetry_Int_Tables_number 123
_symmetry_space_group_name_Hall '-P 4 2'
loop_
_atom_site_label
_atom_site_type_symbol
_atom_site_fract_x
_atom_site_fract_y
_atom_site_fract_z
Rb1 Rb 0.000 0.000 0.000
Rb2 Rb 0.000 0.500 0.267
Hg1 Hg 0.000 0.000 0.500
Au1 Au 0.500 0.500 0.000
O1 O 0.000 0.000 0.287
```

=====

Material: Li2CdCo
Method: DFT, PBE
State: relaxed

## Properties
- Density: 5.1 g/cm3
- ΔH_f (0 K): 0.12 eV/atom

```
data_Li2CdCo
_chemical_formula_sum 'Li2 Cd1 Co1'
_cell_length_a 3.844
_cell_length_b 3.844
_cell_length_c 4.060
_cell_angle_alpha 90.00
_cell_angle_beta 90.00
_cell_angle_gamma 90.00
_symmetry_space_group_name_H-M 'P 4/m m m'
_symmetry_Int_Tables_number 123
_symmetry_space_group_name_Hall '-P 4 2'
loop_
_atom_site_label
_atom_site_type_symbol
_atom_site_fract_x
_atom_site_fract_y
_atom_site_fract_z
Li1 Li 0.000 0.500 0.000
Cd1 Cd 0.000 0.000 0.500
Co1 Co 0.500 0.500 0.500
```

=====

Material: TlGa2Au
Method: DFT, PBE
State: relaxed

## Properties
- Density: 9.3 g/cm3
- ΔH_f (0 K): -0.08 eV/atom
- ΔE to the lowest computed polymorph: 0.000 eV per atom

```
data_TlGa2Au
_chemical_formula_sum 'Tl3 Ga6 Au3'
_cell_length_a 4.2768
_cell_length_b 4.2768
_cell_length_c 18.2234
_cell_angle_alpha 90.00
_cell_angle_beta 90.00
_cell_angle_gamma 120.00
_symmetry_space_group_name_H-M 'R -3 m'
_symmetry_Int_Tables_number 166
_symmetry_space_group_name_Hall '-R 3 2"'
loop_
_atom_site_label
_atom_site_type_symbol
_atom_site_fract_x
_atom_site_fract_y
_atom_site_fract_z
Tl1 Tl 0.0000 0.0000 0.0000
Ga1 Ga 0.0000 0.0000 0.2191
Au1 Au 0.0000 0.0000 0.5000
```

=====

Material: Mo3PPt
Method: DFT, PBE
State: relaxed

## Properties
- Density: 7.8 g/cm3
- ΔH_f (0 K): 1.94 eV/atom
- ΔE to the lowest computed polymorph: 1.402 eV per atom

```
data_Mo3PPt
_chemical_formula_sum 'Mo3 P1 Pt1'
_cell_length_a 4.789
_cell_length_b 4.789
_cell_length_c 4.789
_cell_angle_alpha 90.00
_cell_angle_beta 90.00
_cell_angle_gamma 90.00
_symmetry_space_group_name_H-M 'P m -3 m'
_symmetry_Int_Tables_number 221
_symmetry_space_group_name_Hall '-P 4 2 3'
loop_
_atom_site_label
_atom_site_type_symbol
_atom_site_fract_x
_atom_site_fract_y
_atom_site_fract_z
Mo1 Mo 0.000 0.000 0.500
P1 P 0.500 0.500 0.500
Pt1 Pt 0.000 0.000 0.000
```

=====

Material: FeCu2Ag
Method: DFT, PBE
State: relaxed

## Properties
- Density: 8.8 g/cm3
- ΔH_f (0 K): 0.31 eV/atom
- ΔE to the lowest computed polymorph: 0.145 eV per atom

```
data_FeCu2Ag
_chemical_formula_sum 'Fe2 Cu4 Ag2'
_cell_length_a 2.728
_cell_length_b 4.546
_cell_length_c 8.896
_cell_angle_alpha 90.00
_cell_angle_beta 90.00
_cell_angle_gamma 90.00
_symmetry_space_group_name_H-M 'I m m m'
_symmetry_Int_Tables_number 71
_symmetry_space_group_name_Hall '-I 2 2'
loop_
_atom_site_label
_atom_site_type_symbol
_atom_site_fract_x
_atom_site_fract_y
_atom_site_fract_z
Fe1 Fe 0.000 0.000 0.000
Cu1 Cu 0.000 0.500 0.261
Ag1 Ag 0.000 0.000 0.500
```

=====

no.,VASP energy (eV per atom)
1,-10.1688
2,-2.3092
3,-9.0208
4,-3.7421
5,-5.5083
6,-2.9475
7,-6.2331
8,-2.6670
9,-2.8410
10,-3.0032
11,-6.8526
12,-4.5616